## SrMg2ZnAg (GGA-PBE)

Data for a relaxed structure of SrMg2ZnAg.

abc: 6.510 6.510 6.039
angles: 90.00 90.00 90.00
Positions (direct):
Sr  0.000  0.000  0.000
Mg  0.000  0.500  0.000
Mg  0.500  0.000  0.000
Zn  0.000  0.000  0.500
Ag  0.500  0.500  0.500

Output
Energy of formation ... 1021 meV/atom

---

## ZrNpRh4 (GGA-PBE)

Data for a relaxed structure of ZrNpRh4.

abc: 13.805 13.805 3.991
angles: 90.00 90.00 163.23
Positions (direct):
Zr  0.066  0.934  0.000
Zr  0.934  0.066  0.000
Np  0.296  0.704  0.500
Np  0.704  0.296  0.500
Rh  0.000  0.000  0.500
Rh  0.136  0.864  0.500
Rh  0.212  0.788  0.000
Rh  0.365  0.635  0.000
Rh  0.500  0.500  0.000
Rh  0.635  0.365  0.000
Rh  0.788  0.212  0.000
Rh  0.864  0.136  0.500

Output
Relative energy among the computed polymorphs ... 0.175 eV per atom
Energy of formation ... -267 meV/atom

---

## Ca2SiSbTe (GGA-PBE)

Data for a relaxed structure of Ca2SiSbTe.

abc: 5.799 5.799 5.178
angles: 90.00 90.00 90.00
Positions (direct):
Ca  0.000  0.500  0.000
Ca  0.500  0.000  0.000
Si  0.000  0.000  0.500
Sb  0.500  0.500  0.500
Te  0.000  0.000  0.000

Output
Formation energy from raw total energies ... -0.08 eV per atom

---

## SmZrSc (GGA-PBE)

Data for a relaxed structure of SmZrSc.

abc: 3.284 5.102 9.689
angles: 90.00 99.71 90.00
Positions (direct):
Sm  0.201  0.250  0.404
Sm  0.799  0.750  0.596
Zr  0.035  0.250  0.071
Zr  0.965  0.750  0.929
Sc  0.393  0.250  0.784
Sc  0.607  0.750  0.216

Output
Relative energy among the computed polymorphs ... 0.000 eV per atom
Energy of formation ... 38 meV/atom

---

## Al2GaAg (GGA-PBE)

Data for a relaxed structure of Al2GaAg.

abc: 2.927 2.927 8.091
angles: 90.00 90.00 90.00
Positions (direct):
Al  0.000  0.000  0.238
Al  0.000  0.000  0.762
Ga  0.500  0.500  0.500
Ag  0.500  0.500  0.000

Output
Energy of formation ... 20 meV/atom

---

## SbPbCl3 (GGA-PBE)

Data for a relaxed structure of SbPbCl3.

abc: 5.627 5.627 5.627
angles: 90.00 90.00 90.00
Positions (direct):
Sb  0.000  0.000  0.000
Pb  0.500  0.500  0.500
Cl  0.000  0.500  0.500
Cl  0.500  0.000  0.500
Cl  0.500  0.500  0.000

Output
Formation energy from raw total energies ... -0.28 eV per atom
Relative energy among the computed polymorphs ... 0.000 eV per atom